Entry from Alexandria: a relaxed structure of Tb12Tl3Zn (PBE).

## Properties
E: -4.142 eV/atom
SG: No. 123
Formation enthalpy at 0 K: -2.338 eV/f.u.
Total moment: 0.17 μB/atom
D(E_F): 21.80 states/eV/f.u.

Unit cell a=4.8456 b=4.8456 c=19.3332 alpha=90.00 beta=90.00 gamma=90.00
Closest atoms and distances in Å follow each position.
Fractional positions:
Tb (0.0000, 0.0000, 0.0000)  8 Tb 3.35, 4 Zn 3.43
Tb (0.0000, 0.0000, 0.2460)  4 Tl 3.43, 8 Tb 3.44-3.46
Tb (0.0000, 0.0000, 0.5000)  4 Tl 3.43, 8 Tb 3.44
Tb (0.0000, 0.0000, 0.7540)  4 Tl 3.43, 8 Tb 3.44-3.46
Tb (0.0000, 0.5000, 0.1194)  2 Zn 3.35, 8 Tb 3.35-3.44, 2 Tl 3.47
Tb (0.0000, 0.5000, 0.3737)  8 Tb 3.43-3.46, 4 Tl 3.44
Tb (0.0000, 0.5000, 0.6263)  8 Tb 3.43-3.46, 4 Tl 3.44
Tb (0.0000, 0.5000, 0.8806)  8 Tb 3.35-3.44, 2 Zn 3.35, 2 Tl 3.47
Tb (0.5000, 0.0000, 0.1194)  2 Zn 3.35, 8 Tb 3.35-3.44, 2 Tl 3.47
Tb (0.5000, 0.0000, 0.3737)  8 Tb 3.43-3.46, 4 Tl 3.44
Tb (0.5000, 0.0000, 0.6263)  8 Tb 3.43-3.46, 4 Tl 3.44
Tb (0.5000, 0.0000, 0.8806)  8 Tb 3.35-3.44, 2 Zn 3.35, 2 Tl 3.47
Tl (0.5000, 0.5000, 0.2475)  12 Tb 3.43-3.47
Tl (0.5000, 0.5000, 0.5000)  12 Tb 3.43-3.44
Tl (0.5000, 0.5000, 0.7525)  12 Tb 3.43-3.47
Zn (0.5000, 0.5000, 0.0000)  12 Tb 3.35-3.43

Entry from Alexandria: a relaxed structure of Tb2ZrTl (PBE).

## Properties
E: -4.799 eV/atom
SG: No. 166
Formation enthalpy at 0 K: 0.979 eV/f.u.
Total moment: 0.00 μB/atom
Distance to the lowest polymorph of the same formula: 0.361 eV per atom
D(E_F): 5.28 states/eV/f.u.

Unit cell a=3.3397 b=3.3397 c=35.2397 alpha=90.00 beta=90.00 gamma=120.00
Closest atoms and distances in Å follow each position.
Fractional positions:
Tb (0.0000, 0.0000, 0.0896)  1 Zr 3.16, 3 Tl 3.33, 6 Tb 3.34
Tb (0.0000, 0.0000, 0.9104)  1 Zr 3.16, 3 Tl 3.33, 6 Tb 3.34
Tb (0.3333, 0.6667, 0.5770)  1 Zr 3.16, 3 Tl 3.33, 6 Tb 3.34
Tb (0.3333, 0.6667, 0.7563)  1 Zr 3.16, 3 Tl 3.33, 6 Tb 3.34
Tb (0.6667, 0.3333, 0.2437)  1 Zr 3.16, 3 Tl 3.33, 6 Tb 3.34
Tb (0.6667, 0.3333, 0.4230)  1 Zr 3.16, 3 Tl 3.33, 6 Tb 3.34
Zr (0.0000, 0.0000, 0.0000)  2 Tb 3.16, 6 Zr 3.34
Zr (0.3333, 0.6667, 0.6667)  2 Tb 3.16, 6 Zr 3.34
Zr (0.6667, 0.3333, 0.3333)  2 Tb 3.16, 6 Zr 3.34
Tl (0.0000, 0.0000, 0.5000)  6 Tb 3.33, 6 Tl 3.34
Tl (0.3333, 0.6667, 0.1667)  6 Tb 3.33, 6 Tl 3.34
Tl (0.6667, 0.3333, 0.8333)  6 Tb 3.33, 6 Tl 3.34

Entry from Alexandria: a relaxed structure of Tb2ZrTl (PBE).

## Properties
E: -5.160 eV/atom
SG: No. 123
Formation enthalpy at 0 K: -0.465 eV/f.u.
Total moment: 0.00 μB/atom
Distance to the lowest polymorph of the same formula: 0.000 eV per atom
D(E_F): 4.67 states/eV/f.u.

Unit cell a=3.4547 b=3.4547 c=9.2491 alpha=90.00 beta=90.00 gamma=90.00
Closest atoms and distances in Å follow each position.
Fractional positions:
Tb (0.0000, 0.0000, 0.2492)  4 Tl 3.36, 4 Zr 3.37, 4 Tb 3.45
Tb (0.0000, 0.0000, 0.7508)  4 Tl 3.36, 4 Zr 3.37, 4 Tb 3.45
Zr (0.5000, 0.5000, 0.5000)  8 Tb 3.37, 4 Zr 3.45
Tl (0.5000, 0.5000, 0.0000)  8 Tb 3.36, 4 Tl 3.45

Entry from Alexandria: a relaxed structure of Tb2ZrTl (PBE).

## Properties
E: -5.108 eV/atom
SG: No. 160
Formation enthalpy at 0 K: -0.257 eV/f.u.
Total moment: 0.00 μB/atom
Distance to the lowest polymorph of the same formula: 0.052 eV per atom
D(E_F): 4.32 states/eV/f.u.

Unit cell a=3.4977 b=3.4977 c=31.9462 alpha=90.00 beta=90.00 gamma=120.00
Closest atoms and distances in Å follow each position.
Fractional positions:
Tb (0.0000, 0.0000, 0.0000)  3 Zr 3.32, 3 Tl 3.36, 6 Tb 3.50
Tb (0.0000, 0.0000, 0.1648)  3 Zr 3.31, 3 Tl 3.37, 6 Tb 3.50
Tb (0.3333, 0.6667, 0.6667)  3 Zr 3.32, 3 Tl 3.36, 6 Tb 3.50
Tb (0.3333, 0.6667, 0.8315)  3 Zr 3.31, 3 Tl 3.37, 6 Tb 3.50
Tb (0.6667, 0.3333, 0.3333)  3 Zr 3.32, 3 Tl 3.36, 6 Tb 3.50
Tb (0.6667, 0.3333, 0.4982)  3 Zr 3.31, 3 Tl 3.37, 6 Tb 3.50
Zr (0.0000, 0.0000, 0.7493)  6 Tb 3.31-3.32, 6 Zr 3.50
Zr (0.3333, 0.6667, 0.4160)  6 Tb 3.31-3.32, 6 Zr 3.50
Zr (0.6667, 0.3333, 0.0826)  6 Tb 3.31-3.32, 6 Zr 3.50
Tl (0.0000, 0.0000, 0.5826)  6 Tb 3.36-3.37, 6 Tl 3.50
Tl (0.3333, 0.6667, 0.2493)  6 Tb 3.36-3.37, 6 Tl 3.50
Tl (0.6667, 0.3333, 0.9160)  6 Tb 3.36-3.37, 6 Tl 3.50

Entry from Alexandria: a relaxed structure of Tb2ZrTl (PBE).

## Properties
E: -5.139 eV/atom
SG: No. 123
Formation enthalpy at 0 K: -0.380 eV/f.u.
Total moment: 0.00 μB/atom
Distance to the lowest polymorph of the same formula: 0.021 eV per atom
D(E_F): 4.69 states/eV/f.u.

Unit cell a=4.7286 b=4.7286 c=4.7105 alpha=90.00 beta=90.00 gamma=90.00
Closest atoms and distances in Å follow each position.
Fractional positions:
Tb (0.0000, 0.5000, 0.0000)  4 Tl 3.34, 4 Zr 3.34, 4 Tb 3.34
Tb (0.5000, 0.0000, 0.0000)  4 Tl 3.34, 4 Zr 3.34, 4 Tb 3.34
Zr (0.0000, 0.0000, 0.5000)  8 Tb 3.34, 4 Tl 3.34
Tl (0.5000, 0.5000, 0.5000)  8 Tb 3.34, 4 Zr 3.34

Entry from Alexandria: a relaxed structure of Tb2Zr2Tl3 (PBE).

## Properties
E: -4.848 eV/atom
SG: No. 65
Formation enthalpy at 0 K: -0.478 eV/f.u.
Total moment: 0.00 μB/atom
D(E_F): 7.68 states/eV/f.u.

Unit cell a=4.6368 b=23.2810 c=3.3233 alpha=90.00 beta=90.00 gamma=90.00
Closest atoms and distances in Å follow each position.
Fractional positions:
Tb (0.0000, 0.0742, 0.0000)  1 Zr 3.16, 3 Tb 3.32-3.46, 8 Tl 3.33-3.44
Tb (0.0000, 0.9258, 0.0000)  1 Zr 3.16, 3 Tb 3.32-3.46, 8 Tl 3.33-3.44
Tb (0.5000, 0.4258, 0.0000)  1 Zr 3.16, 3 Tb 3.32-3.46, 8 Tl 3.33-3.44
Tb (0.5000, 0.5742, 0.0000)  1 Zr 3.16, 3 Tb 3.32-3.46, 8 Tl 3.33-3.44
Zr (0.0000, 0.2098, 0.0000)  4 Zr 2.98-3.32, 4 Tl 3.11, 1 Tb 3.16
Zr (0.0000, 0.7902, 0.0000)  4 Zr 2.98-3.32, 4 Tl 3.11, 1 Tb 3.16
Zr (0.5000, 0.2902, 0.0000)  4 Zr 2.98-3.32, 4 Tl 3.11, 1 Tb 3.16
Zr (0.5000, 0.7098, 0.0000)  4 Zr 2.98-3.32, 4 Tl 3.11, 1 Tb 3.16
Tl (0.0000, 0.3432, 0.5000)  4 Zr 3.11, 2 Tl 3.32, 4 Tb 3.44
Tl (0.0000, 0.5000, 0.5000)  4 Tl 3.32-3.65, 8 Tb 3.33
Tl (0.0000, 0.6568, 0.5000)  4 Zr 3.11, 2 Tl 3.32, 4 Tb 3.44
Tl (0.5000, 0.0000, 0.5000)  4 Tl 3.32-3.65, 8 Tb 3.33
Tl (0.5000, 0.1568, 0.5000)  4 Zr 3.11, 2 Tl 3.32, 4 Tb 3.44
Tl (0.5000, 0.8432, 0.5000)  4 Zr 3.11, 2 Tl 3.32, 4 Tb 3.44

Entry from Alexandria: a relaxed structure of TbZr4Tl5 (PBE).

## Properties
E: -5.172 eV/atom
SG: No. 123
Formation enthalpy at 0 K: -1.070 eV/f.u.
Total moment: 0.00 μB/atom
D(E_F): 9.26 states/eV/f.u.

Unit cell a=3.2583 b=3.2583 c=22.2259 alpha=90.00 beta=90.00 gamma=90.00
Closest atoms and distances in Å follow each position.
Fractional positions:
Tb (0.0000, 0.0000, 0.0000)  4 Tb 3.26, 8 Tl 3.31
Zr (0.0000, 0.0000, 0.2066)  8 Tl 3.16-3.19, 4 Zr 3.26
Zr (0.0000, 0.0000, 0.4018)  8 Tl 3.16-3.17, 4 Zr 3.26
Zr (0.0000, 0.0000, 0.5982)  8 Tl 3.16-3.17, 4 Zr 3.26
Zr (0.0000, 0.0000, 0.7934)  8 Tl 3.16-3.19, 4 Zr 3.26
Tl (0.5000, 0.5000, 0.1070)  4 Zr 3.19, 4 Tl 3.26, 4 Tb 3.31
Tl (0.5000, 0.5000, 0.3042)  8 Zr 3.16, 4 Tl 3.26
Tl (0.5000, 0.5000, 0.5000)  8 Zr 3.17, 4 Tl 3.26
Tl (0.5000, 0.5000, 0.6958)  8 Zr 3.16, 4 Tl 3.26
Tl (0.5000, 0.5000, 0.8930)  4 Zr 3.19, 4 Tl 3.26, 4 Tb 3.31

Entry from Alexandria: a relaxed structure of TbZrTl (PBE).

## Properties
E: -5.276 eV/atom
SG: No. 107
Formation enthalpy at 0 K: -0.284 eV/f.u.
Total moment: 0.00 μB/atom
Distance to the lowest polymorph of the same formula: 0.000 eV per atom
D(E_F): 2.40 states/eV/f.u.

Unit cell a=3.4847 b=3.4847 c=12.9811 alpha=90.00 beta=90.00 gamma=90.00
Closest atoms and distances in Å follow each position.
Fractional positions:
Tb (0.0000, 0.0000, 0.0000)  4 Tl 3.33, 4 Zr 3.34, 4 Tb 3.48
Tb (0.5000, 0.5000, 0.5000)  4 Tl 3.33, 4 Zr 3.34, 4 Tb 3.48
Zr (0.0000, 0.0000, 0.3258)  4 Tl 3.17, 4 Tb 3.34, 4 Zr 3.48
Zr (0.5000, 0.5000, 0.8258)  4 Tl 3.17, 4 Tb 3.34, 4 Zr 3.48
Tl (0.0000, 0.0000, 0.6725)  4 Zr 3.17, 4 Tb 3.33, 4 Tl 3.48
Tl (0.5000, 0.5000, 0.1725)  4 Zr 3.17, 4 Tb 3.33, 4 Tl 3.48

Entry from Alexandria: a relaxed structure of TbZrTl (PBE).

## Properties
E: -4.978 eV/atom
SG: No. 156
Formation enthalpy at 0 K: 0.612 eV/f.u.
Total moment: 0.00 μB/atom
Distance to the lowest polymorph of the same formula: 0.299 eV per atom
D(E_F): 4.33 states/eV/f.u.

Unit cell a=5.2448 b=5.2448 c=3.1661 alpha=90.00 beta=90.00 gamma=120.00
Closest atoms and distances in Å follow each position.
Fractional positions:
Tb (0.0000, 0.0000, 0.0000)  3 Zr 3.03, 2 Tb 3.17
Zr (0.3333, 0.6667, 0.0043)  3 Tb 3.03, 2 Zr 3.17
Tl (0.6667, 0.3333, 0.5006)  2 Tl 3.17, 6 Zr 3.41-3.42, 6 Tb 3.42

Entry from Alexandria: a relaxed structure of TbZrTl (PBE).

## Properties
E: -5.050 eV/atom
SG: No. 69
Formation enthalpy at 0 K: 0.396 eV/f.u.
Total moment: 0.00 μB/atom
Distance to the lowest polymorph of the same formula: 0.227 eV per atom
D(E_F): 3.26 states/eV/f.u.

Unit cell a=7.7321 b=6.9746 c=5.2627 alpha=76.97 beta=61.50 gamma=41.54
Closest atoms and distances in Å follow each position.
Fractional positions:
Tb (0.1784, 0.8216, 0.1784)  3 Tb 3.14, 2 Tl 3.22
Tb (0.8216, 0.1784, 0.8216)  3 Tb 3.14, 2 Tl 3.22
Zr (0.2500, 0.2500, 0.2500)  2 Zr 2.88, 4 Tl 3.10
Zr (0.7500, 0.7500, 0.7500)  2 Zr 2.88, 4 Tl 3.10
Tl (0.3796, 0.3796, 0.6204)  1 Tl 3.06, 4 Zr 3.10, 2 Tb 3.22
Tl (0.6204, 0.6204, 0.3796)  1 Tl 3.06, 4 Zr 3.10, 2 Tb 3.22

Entry from Alexandria: a relaxed structure of TbZrTl3 (PBE).

## Properties
E: -4.019 eV/atom
SG: No. 63
Formation enthalpy at 0 K: 0.184 eV/f.u.
Total moment: 0.00 μB/atom
D(E_F): 5.29 states/eV/f.u.

Unit cell a=7.3283 b=7.3283 c=6.0418 alpha=90.00 beta=90.00 gamma=119.93
Closest atoms and distances in Å follow each position.
Fractional positions:
Tb (0.1665, 0.8335, 0.7500)  12 Tl 3.48-3.69
Tb (0.8335, 0.1665, 0.2500)  12 Tl 3.48-3.69
Zr (0.5000, 0.5000, 0.0000)  6 Tl 2.93, 2 Zr 3.02
Zr (0.5000, 0.5000, 0.5000)  6 Tl 2.93, 2 Zr 3.02
Tl (0.1055, 0.3025, 0.7500)  2 Zr 2.93, 2 Tl 2.99
Tl (0.3025, 0.1055, 0.2500)  2 Zr 2.93, 2 Tl 2.99
Tl (0.3026, 0.6974, 0.2500)  2 Zr 2.93, 2 Tl 2.99
Tl (0.6974, 0.3026, 0.7500)  2 Zr 2.93, 2 Tl 2.99
Tl (0.6975, 0.8945, 0.7500)  2 Zr 2.93, 2 Tl 2.99
Tl (0.8945, 0.6975, 0.2500)  2 Zr 2.93, 2 Tl 2.99

Entry from Alexandria: a relaxed structure of Tb5Tm (PBE).

## Properties
E: -4.589 eV/atom
SG: No. 59
Formation enthalpy at 0 K: 0.091 eV/f.u.
Total moment: 0.00 μB/atom
D(E_F): 6.66 states/eV/f.u.

Unit cell a=5.0144 b=10.6048 c=7.0860 alpha=90.00 beta=90.00 gamma=90.00
Closest atoms and distances in Å follow each position.
Fractional positions:
Tb (0.2500, 0.0832, 0.1246)  3 Tm 3.53-3.54, 9 Tb 3.54-3.55
Tb (0.2500, 0.0838, 0.6254)  10 Tb 3.53-3.55, 2 Tm 3.54
Tb (0.2500, 0.4162, 0.6254)  10 Tb 3.53-3.55, 2 Tm 3.54
Tb (0.2500, 0.4168, 0.1246)  3 Tm 3.53-3.54, 9 Tb 3.54-3.55
Tb (0.2500, 0.7500, 0.6254)  2 Tm 3.54-3.55, 10 Tb 3.54
Tb (0.7500, 0.2500, 0.3746)  2 Tm 3.54-3.55, 10 Tb 3.54
Tb (0.7500, 0.5832, 0.8754)  3 Tm 3.53-3.54, 9 Tb 3.54-3.55
Tb (0.7500, 0.5838, 0.3746)  10 Tb 3.53-3.55, 2 Tm 3.54
Tb (0.7500, 0.9162, 0.3746)  10 Tb 3.53-3.55, 2 Tm 3.54
Tb (0.7500, 0.9168, 0.8754)  3 Tm 3.53-3.54, 9 Tb 3.54-3.55
Tm (0.2500, 0.7500, 0.1246)  12 Tb 3.53-3.55
Tm (0.7500, 0.2500, 0.8754)  12 Tb 3.53-3.55